[1]
# SbRu3

An optimized crystal structure of SbRu3 (PBE-GGA, the Alexandria database).

Computed properties:
The uncorrected formation energy comes out at 426 meV/atom.

Geometry as POSCAR:
```
SbRu3
1.0
2.9576 0.0000 0.0000
-1.4788 2.5613 0.0000
0.0000 0.0000 8.4169
Ru Sb
3 1
Direct
0.0000 0.0000 0.0070 Ru
0.0000 0.0000 0.4930 Ru
0.6667 0.3333 0.2500 Ru
0.6667 0.3333 0.7500 Sb
```



[2]
# Sb3Ru

An optimized crystal structure of Sb3Ru (PBE-GGA, the Alexandria database).

Computed properties:
The uncorrected formation energy comes out at 628 meV/atom. Its excess energy over the best structure of this formula in the dataset is 243 kJ/mol of formula units.

Geometry as POSCAR:
```
Sb3Ru
1.0
5.1859 0.0000 0.0000
0.0000 5.1859 0.0000
0.0000 0.0000 5.1859
Ru Sb
1 3
Direct
0.0000 0.0000 0.0000 Ru
0.5000 0.0000 0.0000 Sb
0.0000 0.5000 0.0000 Sb
0.0000 0.0000 0.5000 Sb
```



[3]
# SbRu

An optimized crystal structure of SbRu (PBE-GGA, the Alexandria database).

Computed properties:
The uncorrected formation energy comes out at 359 meV/atom.

Geometry as POSCAR:
```
SbRu
1.0
3.8041 0.0000 0.0000
1.9021 3.2945 0.0000
1.9021 1.0982 3.1060
Ru Sb
1 1
Direct
0.0000 0.0000 0.0000 Ru
0.5000 0.5000 0.5000 Sb
```



[4]
# SbRu5

An optimized crystal structure of SbRu5 (PBE-GGA, the Alexandria database).

Computed properties:
The uncorrected formation energy comes out at 146 meV/atom. Its excess energy over the best structure of this formula in the dataset is 30 kJ/mol of formula units.

Geometry as POSCAR:
```
SbRu5
1.0
2.4073 -4.1696 0.0000
2.4073 4.1696 0.0000
0.0000 0.0000 4.4600
Sb Ru
1 5
Direct
0.0000 0.0000 0.5000 Sb
0.6452 0.0000 0.0000 Ru
0.3548 0.3548 0.0000 Ru
0.0000 0.6452 0.0000 Ru
0.6667 0.3333 0.5000 Ru
0.3333 0.6667 0.5000 Ru
```



Computed calculated density, in the same sequence as the records: 11.1 5.6 9.5 11.6 g/cm3.